# BaNaAg | OQMD via LeMat-Bulk | PBE-GGA | relaxed
data_BaNaAg
_cell_length_a 7.879
_cell_length_b 7.879
_cell_length_c 7.879
_cell_angle_alpha 90.00
_cell_angle_beta 90.00
_cell_angle_gamma 90.00
_symmetry_space_group_name_H-M 'F -4 3 m'
_symmetry_Int_Tables_number 216
_symmetry_space_group_name_Hall 'F -4 2 3'
loop_
_atom_site_label
_atom_site_type_symbol
_atom_site_fract_x
_atom_site_fract_y
_atom_site_fract_z
_atom_site_occupancy
Ba1 Ba 0.000 0.000 0.000 1
Na1 Na 0.250 0.250 0.250 1
Ag1 Ag 0.250 0.250 0.750 1
# E ... -1.80 eV per atom